[1]
Entry from Alexandria via LeMat-Bulk: crystalline K2PbF8 at its relaxed geometry (PBE).

Unit cell a=3.8802 b=6.9397 c=8.9615 alpha=82.44 beta=89.68 gamma=73.93
With the nearest neighbours (Å) after each atom.
Atoms (fractional coordinates):
K  0.2477  0.0133  0.2725  6 F 2.59-2.83
K  0.7523  0.9867  0.7275  6 F 2.59-2.83
Pb  0.0000  0.5000  0.5000  8 F 2.10-2.30
F  0.0478  0.4068  0.2854  1 Pb 2.10
F  0.1638  0.1703  0.5507  1 Pb 2.18
F  0.2494  0.9988  0.9854  2 F 1.95-1.97
F  0.4459  0.6107  0.3775  2 Pb 2.30, 5 F 2.47-2.57
F  0.5541  0.3893  0.6225  2 Pb 2.30, 5 F 2.47-2.57
F  0.7506  0.0012  0.0146  2 F 1.95-1.97
F  0.8362  0.8297  0.4493  1 Pb 2.18
F  0.9522  0.5932  0.7146  1 Pb 2.10

Summary:
magnetic moment: 0.062 μB per atom
D(E_F): 6.3 states/eV/f.u.
uncorrected energy: -3.77 eV per atom

---

[2]
Entry from Alexandria via LeMat-Bulk: crystalline UNbAs at its relaxed geometry (PBE).

Unit cell a=5.8105 b=5.8105 c=5.8105 alpha=146.26 beta=146.26 gamma=48.46
With the nearest neighbours (Å) after each atom.
Atoms (fractional coordinates):
U  0.0000  0.0000  0.0000  5 As 3.13-3.27, 5 Nb 3.15-3.24, 4 U 3.37
Nb  0.6941  0.6941  0.0000  4 As 2.67
As  0.3082  0.3082  0.0000  4 Nb 2.67

Summary:
magnetic moment: 0.725 μB per atom
D(E_F): 5.0 states/eV/f.u.
uncorrected energy: -8.86 eV per atom

---

[3]
Entry from Alexandria via LeMat-Bulk: crystalline PrGdAl at its relaxed geometry (PBE).

Unit cell a=5.1477 b=5.1477 c=3.6635 alpha=90.00 beta=90.00 gamma=120.00
With the nearest neighbours (Å) after each atom.
Atoms (fractional coordinates):
Pr  0.0000  0.0000  0.0000  3 Al 3.20, 3 Gd 3.35
Gd  0.6667  0.3333  0.4193  3 Al 3.12, 3 Pr 3.35
Al  0.3333  0.6667  0.6752  3 Gd 3.12, 3 Pr 3.20

Summary:
magnetic moment: 2.405 μB per atom
D(E_F): 2.4 states/eV/f.u.
uncorrected energy: -7.68 eV per atom
E above lowest polymorph: 0.22 eV per formula unit

---

[4]
Entry from Alexandria via LeMat-Bulk: crystalline TbPmTmZr at its relaxed geometry (PBE).

Unit cell a=5.5171 b=5.5171 c=5.5171 alpha=60.00 beta=60.00 gamma=60.00
With the nearest neighbours (Å) after each atom.
Atoms (fractional coordinates):
Tb  0.0000  0.0000  0.0000  4 Pm 3.38, 4 Tm 3.38
Pm  0.2500  0.2500  0.2500  4 Zr 3.38, 4 Tb 3.38
Tm  0.7500  0.7500  0.7500  4 Zr 3.38, 4 Tb 3.38
Zr  0.5000  0.5000  0.5000  4 Tm 3.38, 4 Pm 3.38

Summary:
magnetic moment: 0.599 μB per atom
D(E_F): 7.2 states/eV/f.u.
uncorrected energy: -5.37 eV per atom

---

[5]
Entry from Alexandria via LeMat-Bulk: crystalline In2SbRh at its relaxed geometry (PBE).

Unit cell a=5.1763 b=5.1763 c=6.5953 alpha=112.04 beta=112.04 gamma=35.90
With the nearest neighbours (Å) after each atom.
Atoms (fractional coordinates):
In  0.0000  0.0000  0.0000  2 Rh 2.80, 1 Sb 3.00
In  0.1725  0.1725  0.6408  3 Rh 2.69-2.75
Sb  0.8186  0.8186  0.2731  2 Rh 2.68, 1 In 3.00
Rh  0.4419  0.4419  0.6259  2 Sb 2.68, 5 In 2.69-2.80

Summary:
magnetic moment: 0.000 μB per atom
D(E_F): 1.4 states/eV/f.u.
uncorrected energy: -4.45 eV per atom

---

[6]
Entry from Alexandria via LeMat-Bulk: crystalline Ac2GaBPt6 at its relaxed geometry (PBE).

Unit cell a=6.8387 b=6.8387 c=6.8387 alpha=127.75 beta=127.75 gamma=77.03
With the nearest neighbours (Å) after each atom.
Atoms (fractional coordinates):
Ac  0.0000  0.5000  0.5000  12 Pt 3.07-3.43, 2 B 3.39
Ac  0.5000  0.0000  0.5000  12 Pt 3.07-3.43, 2 B 3.39
Ga  0.3437  0.3437  0.0000  5 Pt 2.40-2.48
B  0.8542  0.8542  0.0000  5 Pt 2.15-2.27
Pt  0.0552  0.0552  0.0000  1 B 2.15
Pt  0.5183  0.5183  0.5336  1 B 2.27, 1 Ga 2.48
Pt  0.5183  0.9847  0.0000  1 B 2.27, 1 Ga 2.48
Pt  0.5683  0.5683  0.0000  1 Ga 2.40
Pt  0.9847  0.5183  0.0000  1 B 2.27, 1 Ga 2.48
Pt  0.9847  0.9847  0.4664  1 B 2.27, 1 Ga 2.48

Summary:
magnetic moment: 0.000 μB per atom
D(E_F): 2.7 states/eV/f.u.
uncorrected energy: -6.29 eV per atom

---

[7]
Entry from Alexandria via LeMat-Bulk: crystalline KI2N2 at its relaxed geometry (PBE).

Unit cell a=4.4150 b=4.4150 c=7.9691 alpha=90.00 beta=90.00 gamma=90.00
With the nearest neighbours (Å) after each atom.
Atoms (fractional coordinates):
K  0.0000  0.0000  0.0000  4 I 3.12
I  0.5000  0.5000  0.0000  4 K 3.12
I  0.5000  0.5000  0.5000  4 N 2.21
N  0.0000  0.5000  0.5000  2 I 2.21
N  0.5000  0.0000  0.5000  2 I 2.21

Summary:
magnetic moment: 0.321 μB per atom
D(E_F): 2.2 states/eV/f.u.
uncorrected energy: -2.95 eV per atom
E above lowest polymorph: 8.11 eV per formula unit

---

[8]
Entry from Alexandria via LeMat-Bulk: crystalline KZrTlAu2 at its relaxed geometry (PBE).

Unit cell a=5.4156 b=5.4156 c=5.4943 alpha=90.00 beta=90.00 gamma=90.00
With the nearest neighbours (Å) after each atom.
Atoms (fractional coordinates):
K  0.0000  0.0000  0.0000  4 Zr 3.83, 8 Au 3.86
Zr  0.5000  0.5000  0.0000  2 Tl 2.75
Tl  0.5000  0.5000  0.5000  4 Au 2.71, 2 Zr 2.75
Au  0.0000  0.5000  0.5000  2 Tl 2.71
Au  0.5000  0.0000  0.5000  2 Tl 2.71

Summary:
magnetic moment: 0.000 μB per atom
D(E_F): 7.3 states/eV/f.u.
uncorrected energy: -3.03 eV per atom

---

[9]
Entry from Alexandria via LeMat-Bulk: crystalline KInW2 at its relaxed geometry (PBE).

Unit cell a=2.8535 b=2.8535 c=11.1026 alpha=90.00 beta=90.00 gamma=114.13
With the nearest neighbours (Å) after each atom.
Atoms (fractional coordinates):
K  0.0000  0.0000  0.0000  6 K 2.85-3.10
In  0.0000  0.0000  0.5000  6 In 2.85-3.10, 4 W 2.89
W  0.5000  0.5000  0.2806  6 W 2.85-3.10, 2 In 2.89
W  0.5000  0.5000  0.7194  6 W 2.85-3.10, 2 In 2.89

Summary:
magnetic moment: 0.000 μB per atom
D(E_F): 3.1 states/eV/f.u.
uncorrected energy: -6.30 eV per atom

---

[10]
Entry from Alexandria via LeMat-Bulk: crystalline SrZn2In at its relaxed geometry (PBE).

Unit cell a=3.4492 b=4.3798 c=6.8820 alpha=90.00 beta=104.13 gamma=90.00
With the nearest neighbours (Å) after each atom.
Atoms (fractional coordinates):
Sr  0.0000  0.0000  0.0000  8 Zn 3.31-3.39, 2 In 3.44, 2 Sr 3.45
Zn  0.3855  0.5000  0.7218  2 In 2.81
Zn  0.6145  0.5000  0.2782  2 In 2.81
In  0.0000  0.0000  0.5000  4 Zn 2.81

Summary:
magnetic moment: 0.000 μB per atom
D(E_F): 1.5 states/eV/f.u.
uncorrected energy: -1.82 eV per atom

---

[11]
Entry from Alexandria via LeMat-Bulk: crystalline YTcN3 at its relaxed geometry (PBE).

Unit cell a=3.5085 b=3.5085 c=12.3794 alpha=90.00 beta=90.00 gamma=120.00
With the nearest neighbours (Å) after each atom.
Atoms (fractional coordinates):
Y  0.0000  0.0000  0.0000  6 N 2.35
Y  0.0000  0.0000  0.5000  6 N 2.35
Tc  0.3333  0.6667  0.2500  5 N 1.91-2.03
Tc  0.6667  0.3333  0.7500  5 N 1.91-2.03
N  0.0000  0.0000  0.2500  3 Tc 2.03
N  0.0000  0.0000  0.7500  3 Tc 2.03
N  0.3333  0.6667  0.0961  1 Tc 1.91
N  0.3333  0.6667  0.4039  1 Tc 1.91
N  0.6667  0.3333  0.5961  1 Tc 1.91
N  0.6667  0.3333  0.9039  1 Tc 1.91

Summary:
magnetic moment: 0.000 μB per atom
D(E_F): 0.8 states/eV/f.u.
uncorrected energy: -8.68 eV per atom

---

[12]
Entry from Alexandria via LeMat-Bulk: crystalline BRuN2O at its relaxed geometry (PBE).

Unit cell a=3.3420 b=3.3420 c=3.4639 alpha=90.00 beta=90.00 gamma=90.00
With the nearest neighbours (Å) after each atom.
Atoms (fractional coordinates):
B  0.0000  0.0000  0.0000  4 N 1.67, 2 O 1.73
Ru  0.5000  0.5000  0.5000  4 O 2.36, 8 N 2.41
N  0.0000  0.5000  0.0000  2 B 1.67
N  0.5000  0.0000  0.0000  2 B 1.67
O  0.0000  0.0000  0.5000  2 B 1.73

Summary:
magnetic moment: 0.000 μB per atom
D(E_F): 3.3 states/eV/f.u.
uncorrected energy: -6.63 eV per atom